Model 1:
# LiZr2Re

Crystalline LiZr2Re at its relaxed geometry (GGA-PBE, Alexandria).

Computed properties:
symmetry = P4mm, No. 99
total moment = 0.00 μB per cell
V = 75.03 Å³/f.u.

Cell lengths 2.779, 2.779, 9.713 Å; angles 90.00, 90.00, 90.00 degrees
Positions (direct):
Re 0.500 0.500 0.738
Zr 0.500 0.500 0.256
Zr 0.000 0.000 0.980
Li 0.000 0.000 0.526

Model 2:
# LiZr2Re

Crystalline LiZr2Re at its relaxed geometry (GGA-PBE, Alexandria).

Computed properties:
symmetry = F-43m, No. 216
total moment = 0.00 μB per cell
V = 71.55 Å³/f.u.

Cell lengths 4.660, 4.660, 4.660 Å; angles 60.00, 60.00, 60.00 degrees
Positions (direct):
Re 0.750 0.750 0.750
Li 0.500 0.500 0.500
Zr 0.000 0.000 0.000
Zr 0.250 0.250 0.250

Most stable of them? model 2.

Model 1:
# LiZr2Re

Crystalline LiZr2Re at its relaxed geometry (GGA-PBE, Alexandria).

Computed properties:
symmetry = Imm2, No. 44
total moment = 0.00 μB per cell
V = 75.15 Å³/f.u.

Cell lengths 5.594, 5.594, 5.594 Å; angles 144.56, 131.56, 61.44 degrees
Positions (direct):
Zr 0.748 0.248 0.500
Li 0.476 0.476 0.000
Zr 0.027 0.027 0.000
Re 0.249 0.749 0.500

Model 2:
# LiZr2Re

Crystalline LiZr2Re at its relaxed geometry (GGA-PBE, Alexandria).

Computed properties:
symmetry = Cmm2, No. 35
total moment = 0.00 μB per cell
V = 76.49 Å³/f.u.

Cell lengths 2.895, 2.895, 9.899 Å; angles 90.00, 90.00, 112.83 degrees
Positions (direct):
Zr 0.000 0.000 0.970
Re 0.500 0.500 0.750
Li 0.000 0.000 0.528
Zr 0.500 0.500 0.252

Model 3:
# LiZr2Re

Crystalline LiZr2Re at its relaxed geometry (GGA-PBE, Alexandria).

Computed properties:
symmetry = Cmmm, No. 65
total moment = 0.00 μB per cell
V = 80.17 Å³/f.u.

Cell lengths 2.964, 2.964, 9.824 Å; angles 90.00, 90.00, 111.72 degrees
Positions (direct):
Zr 0.000 0.000 0.529
Re 0.500 0.500 0.750
Zr 0.000 0.000 0.971
Li 0.500 0.500 0.250

Model 4:
# LiZr2Re

Crystalline LiZr2Re at its relaxed geometry (GGA-PBE, Alexandria).

Computed properties:
symmetry = C2/m, No. 12
total moment = 0.00 μB per cell
V = 80.01 Å³/f.u.

Cell lengths 4.558, 4.558, 6.149 Å; angles 83.51, 83.51, 39.13 degrees
Positions (direct):
Li 0.750 0.750 0.750
Re 0.250 0.250 0.250
Zr 0.988 0.988 0.027
Zr 0.512 0.512 0.473

Most stable of them? model 3.

Model 1:
# LiZr2Re

Crystalline LiZr2Re at its relaxed geometry (GGA-PBE, Alexandria).

Computed properties:
symmetry = R-3m, No. 166
total moment = 0.00 μB per cell
V = 77.86 Å³/f.u.

Cell lengths 10.848, 10.848, 10.848 Å; angles 15.34, 15.34, 15.34 degrees
Positions (direct):
Zr 0.005 0.005 0.005
Li 0.250 0.250 0.250
Re 0.750 0.750 0.750
Zr 0.495 0.495 0.495

Model 2:
# LiZr2Re

Crystalline LiZr2Re at its relaxed geometry (GGA-PBE, Alexandria).

Computed properties:
symmetry = P4mm, No. 99
total moment = 0.00 μB per cell
V = 71.98 Å³/f.u.

Cell lengths 3.413, 3.413, 6.179 Å; angles 90.00, 90.00, 90.00 degrees
Positions (direct):
Zr 0.500 0.500 0.281
Re 0.500 0.500 0.730
Zr 0.000 0.000 0.963
Li 0.000 0.000 0.526

Model 3:
# LiZr2Re

Crystalline LiZr2Re at its relaxed geometry (GGA-PBE, Alexandria).

Computed properties:
symmetry = Pmm2, No. 25
total moment = 0.00 μB per cell
V = 75.79 Å³/f.u.

Cell lengths 2.771, 4.815, 5.680 Å; angles 90.00, 90.00, 90.00 degrees
Positions (direct):
Zr 0.000 0.000 0.966
Li 0.000 0.000 0.492
Zr 0.500 0.500 0.265
Re 0.500 0.500 0.777

Model 4:
# LiZr2Re

Crystalline LiZr2Re at its relaxed geometry (GGA-PBE, Alexandria).

Computed properties:
symmetry = P2/m, No. 10
total moment = 0.00 μB per cell
V = 76.47 Å³/f.u.

Cell lengths 4.266, 2.901, 6.435 Å; angles 73.82, 90.00, 90.00 degrees
Positions (direct):
Re 0.500 0.750 0.750
Li 0.500 0.250 0.250
Zr 0.000 0.920 0.981
Zr 0.000 0.580 0.519

Most stable of them? model 4.